# 1
Sm4ZnSeS2, relaxed, DFT PBE; E_form (uncorrected) = -1.526 eV/atom; calculated volume = 24.4 A^3/atom; magnetization = 0.000 μB/f.u.; space-group type = P2/m, No. 10; Fermi-level density of states = 3.2 states/eV/cell; mass density = 6.88 g cm⁻³
1.0
4.040 0.000 0.000
0.000 7.146 -0.190
0.000 2.472 6.708
Sm Zn Se S
4 1 1 2
Direct
0.000 0.761 0.745
0.000 0.239 0.255
0.500 0.762 0.244
0.500 0.238 0.756
0.500 0.500 0.000
0.000 0.500 0.500
0.000 0.000 0.000
0.500 0.000 0.500

---

# 2
Sm4ZnSe2S, relaxed, DFT PBE; E_form (uncorrected) = -1.485 eV/atom; calculated volume = 25.3 A^3/atom; magnetization = 0.000 μB/f.u.; space-group type = P2/m, No. 10; Fermi-level density of states = 3.0 states/eV/cell; mass density = 7.04 g cm⁻³
1.0
4.074 0.000 0.000
0.000 7.255 -0.200
0.000 2.501 6.768
Sm Zn Se S
4 1 2 1
Direct
0.000 0.745 0.749
0.000 0.255 0.251
0.500 0.738 0.257
0.500 0.262 0.743
0.500 0.500 0.000
0.000 0.000 0.000
0.500 0.000 0.500
0.000 0.500 0.500

---

# 3
SnSe2S, relaxed, DFT PBE; E_form (uncorrected) = 0.172 eV/atom; calculated volume = 28.0 A^3/atom; magnetization = 0.000 μB/f.u.; space-group type = I-42d, No. 122; Fermi-level density of states = 0.0 states/eV/cell; mass density = 4.58 g cm⁻³
1.0
-4.848 0.945 -1.923
1.358 -2.325 -4.565
-4.238 -7.713 -0.409
S Sn Se
2 2 4
Direct
0.500 0.500 0.000
0.250 0.750 0.500
0.000 0.000 0.000
0.750 0.250 0.500
0.574 0.125 0.250
0.176 0.625 0.250
0.375 0.426 0.750
0.875 0.824 0.750

---

# 4
Sn6Se5S, relaxed, DFT PBE; E_form (uncorrected) = -0.426 eV/atom; calculated volume = 27.3 A^3/atom; magnetization = 0.000 μB/f.u.; space-group type = C2/m, No. 12; Fermi-level density of states = 0.4 states/eV/cell; mass density = 5.78 g cm⁻³
1.0
7.375 0.201 0.000
2.269 7.006 0.000
1.135 3.503 6.387
Sn Se S
6 5 1
Direct
0.753 0.083 0.327
0.247 0.590 0.327
0.245 0.244 0.000
0.755 0.756 0.000
0.753 0.410 0.673
0.247 0.917 0.673
0.500 0.169 0.661
0.000 0.334 0.331
0.500 0.500 0.000
0.000 0.666 0.669
0.500 0.831 0.339
0.000 0.000 0.000

---

# 5
SnSeS2, relaxed, DFT PBE; E_form (uncorrected) = -0.125 eV/atom; calculated volume = 31.3 A^3/atom; magnetization = 0.000 μB/f.u.; space-group type = P1, No. 1; mass density = 3.47 g cm⁻³
1.0
-0.569 -1.846 3.446
2.403 -4.188 -1.981
4.990 3.373 1.572
S Sn Se
2 1 1
Direct
0.988 0.362 0.755
0.675 0.601 0.600
0.941 0.968 0.453
0.376 0.989 0.186

---

# 6
SnSeS2, relaxed, DFT PBE; E_form (uncorrected) = -0.079 eV/atom; calculated volume = 26.1 A^3/atom; magnetization = 0.000 μB/f.u.; space-group type = Cm, No. 8; Fermi-level density of states = 0.7 states/eV/cell; mass density = 4.17 g cm⁻³
1.0
4.321 -0.007 -0.020
2.055 4.918 0.012
2.068 -0.429 4.893
S Sn Se
2 1 1
Direct
0.123 0.764 0.427
0.123 0.264 0.926
0.489 0.623 0.786
0.139 0.183 0.345

---

# 7
SnSeS2, relaxed, DFT PBE; E_form (uncorrected) = -0.037 eV/atom; calculated volume = 26.9 A^3/atom; magnetization = 0.000 μB/f.u.; space-group type = P1, No. 1; Fermi-level density of states = 0.5 states/eV/cell; mass density = 4.05 g cm⁻³
1.0
-2.181 2.473 -2.514
2.454 -2.454 -3.518
-3.683 -3.922 2.230
S Sn Se
2 1 1
Direct
0.382 0.099 0.229
0.625 0.983 0.551
0.967 0.504 0.329
0.020 0.395 0.811

---

# 8
Sn4SeS3, relaxed, DFT PBE; E_form (uncorrected) = -0.412 eV/atom; calculated volume = 26.8 A^3/atom; magnetization = 0.000 μB/f.u.; space-group type = Pmn2_1, No. 31; mass density = 5.03 g cm⁻³
1.0
-0.866 5.890 0.521
-4.220 -0.235 -4.360
-8.327 -1.948 8.164
Sn Se S
8 2 6
Direct
0.044 0.727 0.000
0.563 0.267 0.000
0.042 0.270 0.255
0.542 0.730 0.245
0.063 0.733 0.500
0.544 0.273 0.500
0.542 0.730 0.755
0.042 0.270 0.745
0.074 0.251 0.000
0.574 0.749 0.500
0.583 0.708 0.000
0.084 0.706 0.249
0.584 0.294 0.251
0.083 0.292 0.500
0.584 0.294 0.749
0.084 0.706 0.751